Material: KYSeN2
Method: DFT, GGA-PBEsol
State: relaxed

Formation energy (no corrections) ... 0.162 eV/atom
SG ... P4/mmm (123)
E_tot ... -5.610 eV per atom

```
KYSeN2
1.0
4.621 0.000 0.000
0.000 4.621 0.000
0.000 0.000 5.533
Se Y N K
1 1 2 1
direct
0.000 0.000 0.500
0.000 0.000 0.000
0.500 0.000 0.000
0.000 0.500 0.000
0.500 0.500 0.500
```